1.
Compound: Cd5GaAu4
Source: the Alexandria database
Functional: PBE
Structure: optimized geometry

a = 4.4253 Å, b = 6.8470 Å, c = 7.4100 Å
α = 87.33°, β = 107.43°, γ = 90.21°
Last column: nearest neighbours and their distance in Å.
Positions (direct):
Cd1 0.1783 0.0234 0.3556  5 Au 2.84-3.12, 3 Cd 3.01-3.08
Cd2 0.1672 0.4744 0.3403  5 Au 2.85-3.05, 2 Cd 3.08-3.18
Cd3 0.8328 0.5256 0.6597  5 Au 2.85-3.05, 2 Cd 3.08-3.18
Cd4 0.5000 0.5000 0.0000  6 Au 2.88-2.89
Cd5 0.8217 0.9766 0.6444  5 Au 2.84-3.12, 3 Cd 3.01-3.08
Ga1 0.5000 0.0000 0.0000  6 Au 2.71-2.73
Au1 0.6558 0.7556 0.3136  1 Ga 2.71, 7 Cd 2.85-2.93
Au2 0.9980 0.2316 0.9982  2 Ga 2.71-2.73, 4 Cd 2.84-3.00
Au3 0.3442 0.2444 0.6864  1 Ga 2.71, 7 Cd 2.85-2.93
Au4 0.0020 0.7684 0.0018  2 Ga 2.71-2.73, 4 Cd 2.84-3.00

For the total energy, the calculation gives -0.164 Ry per atom. Its space group is P-1. The calculated formation energy comes out at -167 meV per atom.



2.
Compound: Cd3GaAu6
Source: the Alexandria database
Functional: PBE
Structure: optimized geometry

a = 7.2868 Å, b = 7.3612 Å, c = 7.3612 Å
α = 88.85°, β = 90.00°, γ = 90.00°
Last column: nearest neighbours and their distance in Å.
Positions (direct):
Cd1 0.4478 0.8840 0.7982  8 Au 2.84-2.97
Cd2 0.9478 0.7982 0.8840  8 Au 2.84-2.97
Cd3 0.4451 0.3191 0.6809  6 Au 2.85-2.99
Cd4 0.9451 0.6809 0.3191  6 Au 2.85-2.99
Cd5 0.9478 0.1160 0.2018  8 Au 2.84-2.97
Cd6 0.4478 0.2018 0.1160  8 Au 2.84-2.97
Ga1 0.9510 0.3595 0.6405  6 Au 2.65-2.74
Ga2 0.4510 0.6405 0.3595  6 Au 2.65-2.74
Au1 0.1971 0.6408 0.6338  2 Ga 2.74, 3 Au 2.84-2.89, 4 Cd 2.84-2.99
Au2 0.6971 0.6338 0.6408  2 Ga 2.74, 3 Au 2.84-2.89, 4 Cd 2.84-2.99
Au3 0.2027 0.5010 0.9956  4 Au 2.84-2.88, 2 Cd 2.96-2.97
Au4 0.7027 0.9956 0.5010  4 Au 2.84-2.88, 2 Cd 2.96-2.97
Au5 0.1447 0.1421 0.8579  1 Ga 2.65, 5 Cd 2.85-2.95, 3 Au 2.88
Au6 0.7493 0.1444 0.8556  1 Ga 2.66, 5 Cd 2.86-2.95, 3 Au 2.87-2.88
Au7 0.2493 0.8556 0.1444  1 Ga 2.66, 5 Cd 2.86-2.95, 3 Au 2.87-2.88
Au8 0.6447 0.8579 0.1421  1 Ga 2.65, 5 Cd 2.85-2.95, 3 Au 2.88
Au9 0.2027 0.0044 0.4990  4 Au 2.84-2.88, 2 Cd 2.96-2.97
Au10 0.7027 0.4990 0.0044  4 Au 2.84-2.88, 2 Cd 2.96-2.97
Au11 0.1971 0.3662 0.3592  2 Ga 2.74, 3 Au 2.84-2.89, 4 Cd 2.84-2.99
Au12 0.6971 0.3592 0.3662  2 Ga 2.74, 3 Au 2.84-2.89, 4 Cd 2.84-2.99

As for the energy above the most stable polymorph in this dataset: 0.000 eV/atom. For the total energy, the calculation gives -0.197 Ry per atom. Its space group is Cmc2_1. The calculated formation energy comes out at -134 meV per atom.



3.
Compound: HfCdGaAu
Source: the Alexandria database
Functional: PBE
Structure: optimized geometry

a = 4.7702 Å, b = 4.7702 Å, c = 4.7702 Å
α = 60.00°, β = 60.00°, γ = 60.00°
Last column: nearest neighbours and their distance in Å.
Positions (direct):
Hf1 0.2500 0.2500 0.2500  4 Ga 2.92, 4 Au 2.92
Au1 0.0000 0.0000 0.0000  4 Hf 2.92, 4 Cd 2.92
Ga1 0.5000 0.5000 0.5000  4 Cd 2.92, 4 Hf 2.92
Cd1 0.7500 0.7500 0.7500  4 Ga 2.92, 4 Au 2.92

For the total energy, the calculation gives -0.332 Ry per atom. Its space group is F-43m. The calculated formation energy comes out at -226 meV per atom.



4.
Compound: HoCdGa2Au2
Source: the Alexandria database
Functional: PBE
Structure: optimized geometry

a = 4.5328 Å, b = 4.5328 Å, c = 6.7630 Å
α = 90.00°, β = 90.00°, γ = 120.00°
Last column: nearest neighbours and their distance in Å.
Positions (direct):
Ho1 0.0000 0.0000 0.0000  6 Ga 3.12, 6 Au 3.13, 2 Cd 3.38
Cd1 0.0000 0.0000 0.5000  6 Au 3.10, 6 Ga 3.11, 2 Ho 3.38
Ga1 0.6667 0.3333 0.2505  3 Au 2.62
Ga2 0.3333 0.6667 0.7495  3 Au 2.62
Au1 0.6667 0.3333 0.7452  3 Ga 2.62
Au2 0.3333 0.6667 0.2548  3 Ga 2.62

For the total energy, the calculation gives -0.258 Ry per atom. Its space group is P-3m1. The calculated formation energy comes out at -495 meV per atom.



Q: What is the calculated formation energy in the fourth record?
A: -495 meV per atom



Q: The lowest calculated formation energy belongs to which entry?
A: HoCdGa2Au2



Repeat the fourth record exactly.
Compound: HoCdGa2Au2
Source: the Alexandria database
Functional: PBE
Structure: optimized geometry

a = 4.5328 Å, b = 4.5328 Å, c = 6.7630 Å
α = 90.00°, β = 90.00°, γ = 120.00°
Last column: nearest neighbours and their distance in Å.
Positions (direct):
Ho1 0.0000 0.0000 0.0000  6 Ga 3.12, 6 Au 3.13, 2 Cd 3.38
Cd1 0.0000 0.0000 0.5000  6 Au 3.10, 6 Ga 3.11, 2 Ho 3.38
Ga1 0.6667 0.3333 0.2505  3 Au 2.62
Ga2 0.3333 0.6667 0.7495  3 Au 2.62
Au1 0.6667 0.3333 0.7452  3 Ga 2.62
Au2 0.3333 0.6667 0.2548  3 Ga 2.62

For the total energy, the calculation gives -0.258 Ry per atom. Its space group is P-3m1. The calculated formation energy comes out at -495 meV per atom.